# 1
Computed, not measured: crystalline ZrBPO2 at its relaxed geometry at the PBE level of DFT.

Cell: 3.9761 3.9761 5.7137 Å, 90.00 90.00 90.00°
Fractional coordinates of all 5 atoms:
Zr  0.0000  0.0000  0.0000
B  0.5000  0.5000  0.5000
P  0.0000  0.0000  0.5000
O  0.0000  0.5000  0.0000
O  0.5000  0.0000  0.0000

## Properties
calculated density: 3.03 g cm⁻³
calculated volume: 90.3 Å³/f.u.
symmetry: No. 123
energy above the lowest structure with this stoichiometry: 0.2795 eV/atom
DOS at the Fermi energy: 2.17 states/eV/f.u.
spin magnetization: 0.30 μB/cell
total energy: -6.4934 eV per atom

# 2
Computed, not measured: crystalline ZrBP2O at its relaxed geometry at the PBE level of DFT.

Cell: 3.9368 3.9368 4.2087 Å, 90.00 90.00 90.00°
Fractional coordinates of all 5 atoms:
Zr  0.0000  0.0000  0.0000
B  0.5000  0.5000  0.5000
P  0.0000  0.5000  0.5000
P  0.5000  0.0000  0.5000
O  0.5000  0.5000  0.0000

## Properties
calculated density: 4.58 g cm⁻³
calculated volume: 65.2 Å³/f.u.
symmetry: No. 123
energy above the lowest structure with this stoichiometry: 0.0000 eV/atom
DOS at the Fermi energy: 2.32 states/eV/f.u.
spin magnetization: 0.00 μB/cell
total energy: -6.2166 eV per atom

# 3
Computed, not measured: crystalline ZrBPO2 at its relaxed geometry at the PBE level of DFT.

Cell: 3.6338 3.6338 4.1106 Å, 90.00 90.00 90.00°
Fractional coordinates of all 5 atoms:
Zr  0.0000  0.0000  0.0000
B  0.5000  0.5000  0.5000
P  0.5000  0.5000  0.0000
O  0.0000  0.5000  0.5000
O  0.5000  0.0000  0.5000

## Properties
calculated density: 5.05 g cm⁻³
calculated volume: 54.3 Å³/f.u.
symmetry: No. 123
energy above the lowest structure with this stoichiometry: 0.0000 eV/atom
DOS at the Fermi energy: 1.56 states/eV/f.u.
spin magnetization: 0.00 μB/cell
total energy: -6.7729 eV per atom

# 4
Computed, not measured: crystalline PaB4O7 at its relaxed geometry at the PBE level of DFT.

Cell: 11.2701 4.6430 4.2173 Å, 90.00 90.00 90.00°
Fractional coordinates of all 24 atoms:
Pa  0.0000  0.1734  0.0000
Pa  0.5000  0.8266  0.5000
B  0.1223  0.6673  0.3845
B  0.2410  0.8215  0.8496
B  0.2590  0.1785  0.3496
B  0.3777  0.3327  0.8845
B  0.6223  0.3327  0.8845
B  0.7410  0.1785  0.3496
B  0.7590  0.8215  0.8496
B  0.8777  0.6673  0.3845
O  0.0000  0.6856  0.2507
O  0.1293  0.7532  0.7061
O  0.1676  0.3884  0.2950
O  0.2077  0.8976  0.1911
O  0.2923  0.1024  0.6911
O  0.3324  0.6116  0.7950
O  0.3707  0.2468  0.2061
O  0.5000  0.3144  0.7507
O  0.6293  0.2468  0.2061
O  0.6676  0.6116  0.7950
O  0.7077  0.1024  0.6911
O  0.7923  0.8976  0.1911
O  0.8324  0.3884  0.2950
O  0.8707  0.7532  0.7061

## Properties
calculated density: 5.81 g cm⁻³
calculated volume: 110.3 Å³/f.u.
symmetry: No. 31
DOS at the Fermi energy: 7.46 states/eV/f.u.
spin magnetization: 3.66 μB/cell
total energy: -8.0791 eV per atom

# 5
Computed, not measured: crystalline PaBO4 at its relaxed geometry at the PBE level of DFT.

Cell: 5.0012 5.0012 8.8323 Å, 90.00 90.00 90.00°
Fractional coordinates of all 12 atoms:
Pa  0.0000  0.5000  0.2500
Pa  0.5000  0.0000  0.7500
B  0.0000  0.0000  0.0000
B  0.0000  0.0000  0.5000
O  0.1153  0.2159  0.4049
O  0.1153  0.7841  0.0951
O  0.2159  0.1153  0.9049
O  0.2159  0.8847  0.5951
O  0.7841  0.1153  0.5951
O  0.7841  0.8847  0.9049
O  0.8847  0.2159  0.0951
O  0.8847  0.7841  0.4049

## Properties
calculated density: 4.60 g cm⁻³
calculated volume: 110.5 Å³/f.u.
symmetry: No. 112
energy above the lowest structure with this stoichiometry: 0.1268 eV/atom
DOS at the Fermi energy: 0.00 states/eV/f.u.
spin magnetization: 0.00 μB/cell
total energy: -8.6793 eV per atom

# 6
Computed, not measured: crystalline PaBO3 at its relaxed geometry at the PBE level of DFT.

Cell: 3.6179 3.6179 3.6179 Å, 90.00 90.00 90.00°
Fractional coordinates of all 5 atoms:
Pa  0.0000  0.0000  0.0000
B  0.5000  0.5000  0.5000
O  0.0000  0.5000  0.5000
O  0.5000  0.0000  0.5000
O  0.5000  0.5000  0.0000

## Properties
calculated density: 10.16 g cm⁻³
calculated volume: 47.4 Å³/f.u.
symmetry: No. 221
DOS at the Fermi energy: 3.44 states/eV/f.u.
spin magnetization: 1.75 μB/cell
total energy: -8.0331 eV per atom

- calculated volume of number 6 (PaBO3)?
  47.4 Å³/f.u.